DFT (PBE-GGA) results for a relaxed structure of BiSbPd3.

Polymorph energy (0 for the lowest one): 39 meV per atom
Uncorrected formation energy: -0.285 eV/atom
Volume: 211.4 Å³ per cell
Space group: Pmc2_1
Calculated total energy: -5.00 eV/atom
DOS(E_F): 0.557 states/eV per atom

POSCAR file:
```
BiSbPd3
1.0
4.603 0.000 0.000
0.000 8.331 0.000
0.000 0.000 5.513
Bi Sb Pd
2 2 6
Cartesian
0.000 1.187 0.000
0.000 7.144 2.756
2.301 3.158 3.733
2.301 5.172 0.976
0.000 2.053 2.811
0.000 6.278 0.055
2.301 0.381 3.071
2.301 2.465 1.030
2.301 5.865 3.787
2.301 7.950 0.315
```